# 1
DFT (PBE) results for a relaxed structure of DyTm2Ga3CuAg2.

Properties
E_tot = -4.018 eV per atom
Space-group type = Amm2, No. 38

abc: 3.749 7.457 7.457
angles: 120.22 90.00 90.00
Sites, in units of the cell vectors:
Ga 0.500 0.752 0.752
Ga 0.500 0.999 0.247
Ga 0.500 0.247 0.999
Ag 0.500 0.669 0.332
Ag 0.500 0.332 0.669
Cu 0.000 0.998 0.998
Tm 0.000 0.000 0.605
Tm 0.000 0.605 0.000
Dy 0.000 0.397 0.397

***

# 2
DFT (PBE) results for a relaxed structure of Dy2HoIn3CuAg2.

Properties
E_tot = -3.918 eV per atom
Space-group type = Amm2, No. 38

abc: 3.872 7.789 7.789
angles: 119.95 90.00 90.00
Sites, in units of the cell vectors:
Cu 0.000 0.000 0.000
Ag 0.500 0.334 0.666
Ag 0.500 0.666 0.334
In 0.500 0.748 0.000
In 0.500 0.000 0.748
In 0.500 0.252 0.252
Dy 0.000 0.402 0.000
Dy 0.000 0.000 0.402
Ho 0.000 0.598 0.598

***

# 3
DFT (PBE) results for a relaxed structure of Dy2HoTl3CuAg2.

Properties
E_tot = -3.651 eV per atom
Space-group type = Amm2, No. 38

abc: 3.865 7.890 7.890
angles: 119.95 90.00 90.00
Sites, in units of the cell vectors:
Dy 0.000 0.398 0.000
Dy 0.000 0.000 0.398
Ag 0.500 0.334 0.666
Ag 0.500 0.666 0.334
Tl 0.500 0.258 0.258
Tl 0.500 0.742 0.000
Tl 0.500 0.000 0.742
Ho 0.000 0.602 0.602
Cu 0.000 0.000 0.000

***

# 4
DFT (PBE) results for a relaxed structure of Dy3In3Cu2Ag.

Properties
E_tot = -3.993 eV per atom
Space-group type = P-62m, No. 189

abc: 7.609 7.609 3.948
angles: 90.00 90.00 120.00
Sites, in units of the cell vectors:
Dy 0.411 0.411 0.500
Dy 0.000 0.589 0.500
Dy 0.589 0.000 0.500
Cu 0.333 0.667 0.000
Cu 0.667 0.333 0.000
Ag 0.000 0.000 0.500
In 0.732 0.732 0.000
In 0.268 0.000 0.000
In 0.000 0.268 0.000